[1]
This record from OQMD via LeMat-Bulk describes a relaxed structure of PmZr5. The functional is PBE.

Calculated values
ρ ... 6.7 g/cm3
Formation enthalpy at 0 K ... 0.409 eV per formula unit

abc: 5.7045 5.7045 5.2490
angles: 90.00 90.00 120.00
Space group P-62m (No. 189)
One atom of each set of equivalent atoms:
Pm: 0.0000 0.0000 0.0000 [1 per cell]
Zr: 0.0000 0.3546 0.5000 [3 per cell]
Zr: 0.3333 0.6667 0.0000 [2 per cell]

[2]
This record from OQMD via LeMat-Bulk describes a relaxed structure of KHgB4. The functional is PBE.

Calculated values
ρ ... 6.2 g/cm3
Energy above the lowest structure with this stoichiometry ... 0.118 eV per formula unit

abc: 3.1227 3.1227 9.0352
angles: 90.00 90.00 120.00
Space group P6/mmm (No. 191)
One atom of each set of equivalent atoms:
K: 0.0000 0.0000 0.0000 [1 per cell]
Hg: 0.0000 0.0000 0.5000 [1 per cell]
B: 0.3333 0.6667 0.2710 [4 per cell]

[3]
This record from OQMD via LeMat-Bulk describes a relaxed structure of LiWAu3S4. The functional is PBE.

Calculated values
Raw total energy ... -4.615 eV per atom
ρ ... 7.2 g/cm3

abc: 5.9414 5.9414 5.9414
angles: 90.00 90.00 90.00
Space group P-43m (No. 215)
One atom of each set of equivalent atoms:
Li: 0.0000 0.0000 0.0000 [1 per cell]
W: 0.5000 0.5000 0.5000 [1 per cell]
Au: 0.0000 0.5000 0.5000 [3 per cell]
S: 0.2671 0.2671 0.2671 [4 per cell]

[4]
This record from OQMD via LeMat-Bulk describes a relaxed structure of SrIr. The functional is PBE.

Calculated values
Raw total energy ... -4.019 eV per atom
ρ ... 5.8 g/cm3

abc: 6.8254 6.8254 6.8254
angles: 90.00 90.00 90.00
Space group F-43m (No. 216)
One atom of each set of equivalent atoms:
Sr: 0.0000 0.0000 0.0000 [4 per cell]
Ir: 0.2500 0.2500 0.2500 [4 per cell]

[5]
This record from OQMD via LeMat-Bulk describes a relaxed structure of Hf2In2CuAu. The functional is PBE.

Calculated values
Raw total energy ... -5.643 eV per atom
ρ ... 11.0 g/cm3

abc: 7.7793 4.4782 14.8642
angles: 90.00 99.80 90.00
Space group Pm (No. 6)
One atom of each set of equivalent atoms:
Hf: 0.0000 0.0000 0.0000 [1 per cell]
Hf: 0.0019 0.5000 0.4929 [1 per cell]
Hf: 0.2428 0.0000 0.7414 [1 per cell]
Hf: 0.2460 0.5000 0.2437 [1 per cell]
Hf: 0.4900 0.0000 0.4893 [1 per cell]
Hf: 0.4990 0.5000 0.9996 [1 per cell]
Hf: 0.7461 0.0000 0.2412 [1 per cell]
Hf: 0.7526 0.5000 0.7423 [1 per cell]
In: 0.1213 0.5000 0.8623 [1 per cell]
In: 0.1301 0.0000 0.3654 [1 per cell]
In: 0.3605 0.5000 0.6130 [1 per cell]
In: 0.3742 0.0000 0.1271 [1 per cell]
In: 0.6095 0.5000 0.3639 [1 per cell]
In: 0.6217 0.0000 0.8685 [1 per cell]
In: 0.8756 0.5000 0.1273 [1 per cell]
In: 0.8835 0.0000 0.6203 [1 per cell]
Cu: 0.0603 0.0000 0.1831 [1 per cell]
Cu: 0.0599 0.5000 0.6791 [1 per cell]
Cu: 0.3071 0.5000 0.4290 [1 per cell]
Cu: 0.5594 0.5000 0.1823 [1 per cell]
Au: 0.3094 0.0000 0.9339 [1 per cell]
Au: 0.5592 0.0000 0.6783 [1 per cell]
Au: 0.8097 0.0000 0.4296 [1 per cell]
Au: 0.8126 0.5000 0.9343 [1 per cell]

[6]
This record from OQMD via LeMat-Bulk describes a relaxed structure of TlAgSnS3. The functional is PBE.

Calculated values
ρ ... 5.9 g/cm3
Energy above the lowest structure with this stoichiometry ... 0.209 eV per formula unit

abc: 8.0146 3.8847 9.8470
angles: 90.00 106.04 90.00
Space group P2_1/m (No. 11)
One atom of each set of equivalent atoms:
Tl: 0.2068 0.2500 0.1623 [2 per cell]
Ag: 0.4769 0.2500 0.8943 [2 per cell]
Sn: 0.1784 0.7500 0.6405 [2 per cell]
S: 0.0573 0.7500 0.3685 [2 per cell]
S: 0.2306 0.7500 0.9121 [2 per cell]
S: 0.3902 0.2500 0.6312 [2 per cell]

[7]
This record from OQMD via LeMat-Bulk describes a relaxed structure of K3LuP2. The functional is PBE.

Calculated values
Raw total energy ... -3.776 eV per atom
ρ ... 2.9 g/cm3

abc: 7.7942 14.9598 6.9448
angles: 90.00 90.00 90.00
Space group Ibam (No. 72)
One atom of each set of equivalent atoms:
K: 0.0000 0.0000 0.2500 [4 per cell]
K: 0.2004 0.3061 0.0000 [8 per cell]
Lu: 0.0000 0.5000 0.2500 [4 per cell]
P: 0.1897 0.4028 0.5000 [8 per cell]

[8]
This record from OQMD via LeMat-Bulk describes a relaxed structure of Hf3Sb4Pt4. The functional is PBE.

Calculated values
ρ ... 12.9 g/cm3
Energy above the lowest structure with this stoichiometry ... 2.178 eV per formula unit

abc: 6.9689 4.2628 7.8176
angles: 90.00 94.70 90.00
Space group Pm (No. 6)
One atom of each set of equivalent atoms:
Hf: 0.0000 0.0000 0.0000 [1 per cell]
Hf: 0.0465 0.5000 0.3978 [1 per cell]
Hf: 0.5311 0.0000 0.9280 [1 per cell]
Sb: 0.3067 0.0000 0.6128 [1 per cell]
Sb: 0.3207 0.5000 0.0880 [1 per cell]
Sb: 0.7027 0.0000 0.3231 [1 per cell]
Sb: 0.7403 0.5000 0.7678 [1 per cell]
Pt: 0.1442 0.5000 0.7729 [1 per cell]
Pt: 0.2901 0.0000 0.2805 [1 per cell]
Pt: 0.7711 0.5000 0.1236 [1 per cell]
Pt: 0.9091 0.0000 0.6267 [1 per cell]

[9]
This record from OQMD via LeMat-Bulk describes a relaxed structure of NdCo4Sn4Ge2. The functional is PBE.

Calculated values
Raw total energy ... -5.595 eV per atom
ρ ... 8.3 g/cm3

abc: 6.4673 6.4673 9.5440
angles: 90.00 90.00 90.00
Space group I-42m (No. 121)
One atom of each set of equivalent atoms:
Nd: 0.0000 0.0000 0.0000 [2 per cell]
Co: 0.1768 0.1768 0.5704 [8 per cell]
Sn: 0.1803 0.1803 0.2952 [8 per cell]
Ge: 0.0000 0.5000 0.0000 [4 per cell]

[10]
This record from OQMD via LeMat-Bulk describes a relaxed structure of FeReHgAs. The functional is PBE.

Calculated values
ρ ... 12.9 g/cm3
Energy above the lowest structure with this stoichiometry ... 1.159 eV per formula unit

abc: 6.4302 6.4302 6.4302
angles: 90.00 90.00 90.00
Space group F-43m (No. 216)
One atom of each set of equivalent atoms:
Fe: 0.0000 0.0000 0.0000 [4 per cell]
Re: 0.2500 0.2500 0.2500 [4 per cell]
Hg: 0.0000 0.0000 0.5000 [4 per cell]
As: 0.2500 0.2500 0.7500 [4 per cell]

[11]
This record from OQMD via LeMat-Bulk describes a relaxed structure of HoIrCl6. The functional is PBE.

Calculated values
Raw total energy ... -4.417 eV per atom
ρ ... 4.5 g/cm3

abc: 6.3312 10.9425 6.4499
angles: 90.00 109.13 90.00
Space group C2 (No. 5)
One atom of each set of equivalent atoms:
Ho: 0.0000 0.0000 0.0000 [2 per cell]
Ir: 0.0000 0.3329 0.0000 [2 per cell]
Cl: 0.2244 0.3330 0.7678 [4 per cell]
Cl: 0.2282 0.4838 0.2338 [4 per cell]
Cl: 0.2290 0.1825 0.2341 [4 per cell]

[12]
This record from OQMD via LeMat-Bulk describes a relaxed structure of RbTbSeO. The functional is PBE.

Calculated values
ρ ... 5.7 g/cm3
Energy above the lowest structure with this stoichiometry ... 0.000 eV per formula unit

abc: 8.1066 7.5004 6.6508
angles: 90.00 101.31 90.00
Space group P2_1/c (No. 14)
One atom of each set of equivalent atoms:
Rb: 0.0883 0.2190 0.4856 [4 per cell]
Tb: 0.4773 0.6279 0.7796 [4 per cell]
Se: 0.2523 0.5912 0.3637 [4 per cell]
O: 0.4101 0.1470 0.3847 [4 per cell]

[13]
This record from OQMD via LeMat-Bulk describes a relaxed structure of Fe9Cu9S16. The functional is PBE.

Calculated values
ρ ... 4.5 g/cm3
Energy above the lowest structure with this stoichiometry ... 0.728 eV per formula unit

abc: 10.5575 10.4198 10.5636
angles: 90.00 90.20 90.00
Space group P2 (No. 3)
One atom of each set of equivalent atoms:
Fe: 0.0000 0.9995 0.0000 [1 per cell]
Fe: 0.0000 0.0074 0.5000 [1 per cell]
Fe: 0.9998 0.2495 0.2501 [2 per cell]
Fe: 0.2503 0.2465 0.7499 [2 per cell]
Fe: 0.2502 0.7486 0.5036 [2 per cell]
Fe: 0.2505 0.4954 0.2505 [2 per cell]
Fe: 0.2505 0.4990 0.7495 [2 per cell]
Fe: 0.2508 0.7479 0.9976 [2 per cell]
Fe: 0.4990 0.2488 0.2507 [2 per cell]
Fe: 0.5000 0.0000 0.5000 [1 per cell]
Fe: 0.5000 0.0076 0.0000 [1 per cell]
Cu: 0.0000 0.4922 0.0000 [1 per cell]
Cu: 0.0000 0.4994 0.5000 [1 per cell]
Cu: 0.0048 0.7488 0.7490 [2 per cell]
Cu: 0.2499 0.2482 0.0064 [2 per cell]
Cu: 0.2503 0.7542 0.2502 [2 per cell]
Cu: 0.2513 0.0067 0.2509 [2 per cell]
Cu: 0.2513 0.9891 0.7488 [2 per cell]
Cu: 0.2516 0.2479 0.4930 [2 per cell]
Cu: 0.4937 0.7492 0.7496 [2 per cell]
Cu: 0.5000 0.4922 0.5000 [1 per cell]
Cu: 0.5000 0.4994 0.0000 [1 per cell]
S: 0.1205 0.1241 0.1256 [2 per cell]
S: 0.1228 0.8779 0.3818 [2 per cell]
S: 0.1236 0.1258 0.6282 [2 per cell]
S: 0.1237 0.3735 0.3736 [2 per cell]
S: 0.1241 0.8749 0.8782 [2 per cell]
S: 0.1247 0.6198 0.1222 [2 per cell]
S: 0.1268 0.3730 0.8686 [2 per cell]
S: 0.1277 0.6222 0.6254 [2 per cell]
S: 0.3731 0.6221 0.8740 [2 per cell]
S: 0.3743 0.3725 0.6313 [2 per cell]
S: 0.3755 0.6205 0.3784 [2 per cell]
S: 0.3774 0.1258 0.8711 [2 per cell]
S: 0.3773 0.3736 0.1273 [2 per cell]
S: 0.3780 0.8777 0.1190 [2 per cell]
S: 0.3804 0.8778 0.6158 [2 per cell]
S: 0.3853 0.1215 0.3783 [2 per cell]

[14]
This record from OQMD via LeMat-Bulk describes a relaxed structure of BaSrCdSbAs. The functional is PBE.

Calculated values
ρ ... 5.3 g/cm3
Energy above the lowest structure with this stoichiometry ... 0.000 eV per formula unit

abc: 4.7059 17.7348 8.0245
angles: 90.00 90.00 90.00
Space group Cmc2_1 (No. 36)
One atom of each set of equivalent atoms:
Ba: 0.0000 0.2146 0.0000 [4 per cell]
Sr: 0.0000 0.0329 0.6357 [4 per cell]
Cd: 0.0000 0.4070 0.7995 [4 per cell]
Sb: 0.0000 0.4317 0.4258 [4 per cell]
As: 0.0000 0.1663 0.3929 [4 per cell]

[15]
This record from OQMD via LeMat-Bulk describes a relaxed structure of GaFeCuRe. The functional is PBE.

Calculated values
ρ ... 12.1 g/cm3
Energy above the lowest structure with this stoichiometry ... 0.405 eV per formula unit

abc: 5.9010 5.9010 5.9010
angles: 90.00 90.00 90.00
Space group F-43m (No. 216)
One atom of each set of equivalent atoms:
Ga: 0.0000 0.0000 0.0000 [4 per cell]
Fe: 0.2500 0.2500 0.2500 [4 per cell]
Cu: 0.0000 0.0000 0.5000 [4 per cell]
Re: 0.2500 0.2500 0.7500 [4 per cell]

[16]
This record from OQMD via LeMat-Bulk describes a relaxed structure of UFeB. The functional is PBE.

Calculated values
ρ ... 11.2 g/cm3
Energy above the lowest structure with this stoichiometry ... 0.579 eV per formula unit

abc: 5.6463 5.6463 5.6463
angles: 90.00 90.00 90.00
Space group F-43m (No. 216)
One atom of each set of equivalent atoms:
U: 0.0000 0.0000 0.0000 [4 per cell]
Fe: 0.2500 0.2500 0.2500 [4 per cell]
B: 0.0000 0.0000 0.5000 [4 per cell]

[17]
This record from OQMD via LeMat-Bulk describes a relaxed structure of ScAlSiPt. The functional is PBE.

Calculated values
ρ ... 7.4 g/cm3
Energy above the lowest structure with this stoichiometry ... 0.000 eV per formula unit

abc: 9.7476 4.1608 6.5338
angles: 90.00 91.85 90.00
Space group C2/m (No. 12)
One atom of each set of equivalent atoms:
Sc: 0.0759 0.0000 0.2573 [4 per cell]
Al: 0.1367 0.5000 0.9496 [4 per cell]
Si: 0.1210 0.5000 0.5487 [4 per cell]
Pt: 0.2073 0.0000 0.7288 [4 per cell]

[18]
This record from OQMD via LeMat-Bulk describes a relaxed structure of NdP2Pd4. The functional is PBE.

Calculated values
Raw total energy ... -6.008 eV per atom
ρ ... 9.0 g/cm3

abc: 7.7407 7.7407 3.8940
angles: 90.00 90.00 90.00
Space group P4_2/mnm (No. 136)
One atom of each set of equivalent atoms:
Nd: 0.0000 0.0000 0.0000 [2 per cell]
P: 0.2222 0.2222 0.5000 [4 per cell]
Pd: 0.0831 0.6692 0.5000 [8 per cell]

[19]
This record from OQMD via LeMat-Bulk describes a relaxed structure of LiLuSeO. The functional is PBE.

Calculated values
ρ ... 6.4 g/cm3
Energy above the lowest structure with this stoichiometry ... 0.138 eV per formula unit

abc: 5.4221 5.4222 10.0950
angles: 90.00 105.56 90.00
Space group P2_1 (No. 4)
One atom of each set of equivalent atoms:
Li: 0.0296 0.0000 0.0908 [2 per cell]
Li: 0.4451 0.9776 0.9085 [2 per cell]
Lu: 0.0533 0.2184 0.6073 [2 per cell]
Lu: 0.4466 0.2182 0.3928 [2 per cell]
Se: 0.0921 0.4797 0.1707 [2 per cell]
Se: 0.4118 0.4760 0.8295 [2 per cell]
O: 0.2501 0.4676 0.5000 [2 per cell]
O: 0.2503 0.9681 0.5001 [2 per cell]

[20]
This record from OQMD via LeMat-Bulk describes a relaxed structure of Na2Si2Pt. The functional is PBE.

Calculated values
Raw total energy ... -4.263 eV per atom
ρ ... 5.2 g/cm3

abc: 6.2269 6.2269 4.9068
angles: 90.00 90.00 90.00
Space group P4/mbm (No. 127)
One atom of each set of equivalent atoms:
Na: 0.1818 0.3182 0.0000 [4 per cell]
Si: 0.1322 0.6322 0.5000 [4 per cell]
Pt: 0.0000 0.0000 0.5000 [2 per cell]